Computed, not measured: YLu2Tl after structural relaxation at the GGA-PBE level of DFT.

a b c (Å): 3.587 3.587 8.939
angles (deg): 90.00 90.00 90.00
Atoms (fractional coordinates):
Y 0.500 0.500 0.500
Tl 0.500 0.500 0.000
Lu 0.000 0.000 0.772
Lu 0.000 0.000 0.228

VASP energy, eV/atom: -4.633
D(E_F), states/eV/cell: 4.0
Distance to the lowest polymorph of the same formula, eV/atom: 0.000
Formation enthalpy at 0 K, eV/atom: -0.16

Computed, not measured: LiTc2HCl after structural relaxation at the GGA-PBE level of DFT.

a b c (Å): 4.650 2.924 4.650
angles (deg): 90.00 90.00 90.00
Atoms (fractional coordinates):
H 0.000 0.500 0.000
Li 0.500 0.500 0.500
Tc 0.000 0.000 0.500
Tc 0.500 0.000 0.000
Cl 0.000 0.000 0.000

VASP energy, eV/atom: -4.402
D(E_F), states/eV/cell: 4.6

Computed, not measured: BaHgIr2C after structural relaxation at the GGA-PBE level of DFT.

a b c (Å): 5.295 4.121 5.295
angles (deg): 90.00 90.00 90.00
Each line ends with the local moment (μB).
Atoms (fractional coordinates):
C 0.000 0.500 0.000  -0.07
Ir 0.000 0.000 0.500  0.82
Ir 0.500 0.000 0.000  0.72
Hg 0.000 0.000 0.000  -0.03
Ba 0.500 0.500 0.500  -0.03

VASP energy, eV/atom: -4.012
D(E_F), states/eV/cell: 5.1
Formation enthalpy at 0 K, eV/atom: 1.82

Computed, not measured: K3Nd2PaSe6 after structural relaxation at the GGA-PBE level of DFT.

a b c (Å): 7.435 7.435 8.124
angles (deg): 98.78 98.78 120.00
Each line ends with the local moment (μB).
Atoms (fractional coordinates):
K 0.169 0.831 0.500  0.00
K 0.831 0.169 0.500  0.00
K 0.500 0.500 0.500  0.00
Nd 0.334 0.666 0.000  0.11
Nd 0.666 0.334 0.000  0.11
Pa 0.000 0.000 0.000  1.21
Se 0.929 0.606 0.788  -0.01
Se 0.748 0.748 0.212  -0.01
Se 0.071 0.394 0.212  -0.01
Se 0.606 0.929 0.788  -0.01
Se 0.252 0.252 0.788  -0.01
Se 0.394 0.071 0.212  -0.01

VASP energy, eV/atom: -5.198
D(E_F), states/eV/cell: 7.5
Uncorrected formation energy, eV per atom: -1.596